The following is a PBE calculation of a geometry-optimized BaIn5Hg3 structure, from the Alexandria database.

Cell lengths 4.8375, 13.9420, 8.2528 Å; angles 90.00, 104.53, 90.00 degrees
Space group P2_1/m (No. 11)
Symmetry-distinct sites (fractional):
Ba (0.1759, 0.2500, 0.3552) x2
In (0.0000, 0.0000, 0.0000) x2
In (0.1994, 0.5447, 0.3936) x4
In (0.4240, 0.1407, 0.8676) x4
Hg (0.1476, 0.7500, 0.2975) x2
Hg (0.3842, 0.5846, 0.7695) x4

Output
The value obtained for the total DFT energy (no corrections) is -1.9996 eV per atom.